No. 1
PBE SrLa2MgPd, optimized geometry; calculated volume = 177.1 Å³/f.u.; total magnetization = 0.0 μB per cell; offset from the most stable computed form = 0 meV per atom; symmetry = P4/mmm, No. 123
1.0
5.7391 0.0000 0.0000
0.0000 5.7391 0.0000
0.0000 0.0000 5.3756
Sr La Mg Pd
1 2 1 1
Direct
0.0000 0.0000 0.0000
0.0000 0.5000 0.5000
0.5000 0.0000 0.5000
0.5000 0.5000 0.0000
0.5000 0.5000 0.5000

=====

No. 2
PBE CuOs2Cl, optimized geometry; calculated volume = 59.2 Å³/f.u.; total magnetization = 0.0 μB per cell; offset from the most stable computed form = 687 meV per atom; symmetry = Imm2, No. 44
1.0
-1.3896 2.2662 4.7009
1.3896 -2.2662 4.7009
1.3896 2.2662 -4.7009
Cu Os Cl
1 2 1
Direct
0.0000 0.0000 0.0000
0.5119 0.5119 0.0000
0.7402 0.2402 0.5000
0.2792 0.7792 0.5000

=====

No. 3
PBE TaSiNi, optimized geometry; calculated volume = 41.0 Å³/f.u.; total magnetization = 0.0 μB per cell; E_tot = -8.15 eV per atom; symmetry = Cm, No. 8
1.0
4.4772 -1.8609 0.0000
4.4772 1.8609 0.0000
-0.0319 0.0000 4.9186
Ta Si Ni
2 2 2
Direct
0.0000 0.0000 0.0000
0.5829 0.5829 0.5077
0.2924 0.2924 0.7253
0.7005 0.7005 0.0233
0.2916 0.2916 0.2225
0.8808 0.8808 0.5056

=====

No. 4
PBE LiCu2Cl3, optimized geometry; calculated volume = 121.0 Å³/f.u.; total magnetization = 0.0 μB per cell; E_tot = -3.47 eV per atom; symmetry = Fdd2, No. 43
1.0
0.0000 11.5290 5.4667
3.8392 0.0000 5.4667
3.8392 11.5290 0.0000
Li Cu Cl
4 8 12
Direct
0.0797 0.4203 0.0837
0.1663 0.8337 0.1703
0.4203 0.0797 0.4163
0.8337 0.1663 0.8297
0.2491 0.2491 0.2509
0.3337 0.6655 0.3357
0.5003 0.5003 0.4997
0.5849 0.9143 0.5845
0.6655 0.3337 0.6651
0.7503 0.7503 0.7497
0.9143 0.5849 0.9163
0.9991 0.9991 0.0009
0.0399 0.2129 0.2940
0.1252 0.6205 0.3796
0.2129 0.0399 0.4532
0.2893 0.4620 0.5452
0.3752 0.8704 0.6295
0.4620 0.2893 0.7035
0.5465 0.7048 0.7880
0.6205 0.1252 0.8748
0.7048 0.5465 0.9607
0.7968 0.9560 0.0371
0.8704 0.3752 0.1248
0.9560 0.7968 0.2101

=====

- calculated volume of number 4 (LiCu2Cl3)?
  121.0 Å³/f.u.

=====

- Look up the total magnetization of the first one.
  0.0 μB per cell

=====

Copy entry 4 word for word.
PBE LiCu2Cl3, optimized geometry; calculated volume = 121.0 Å³/f.u.; total magnetization = 0.0 μB per cell; E_tot = -3.47 eV per atom; symmetry = Fdd2, No. 43
1.0
0.0000 11.5290 5.4667
3.8392 0.0000 5.4667
3.8392 11.5290 0.0000
Li Cu Cl
4 8 12
Direct
0.0797 0.4203 0.0837
0.1663 0.8337 0.1703
0.4203 0.0797 0.4163
0.8337 0.1663 0.8297
0.2491 0.2491 0.2509
0.3337 0.6655 0.3357
0.5003 0.5003 0.4997
0.5849 0.9143 0.5845
0.6655 0.3337 0.6651
0.7503 0.7503 0.7497
0.9143 0.5849 0.9163
0.9991 0.9991 0.0009
0.0399 0.2129 0.2940
0.1252 0.6205 0.3796
0.2129 0.0399 0.4532
0.2893 0.4620 0.5452
0.3752 0.8704 0.6295
0.4620 0.2893 0.7035
0.5465 0.7048 0.7880
0.6205 0.1252 0.8748
0.7048 0.5465 0.9607
0.7968 0.9560 0.0371
0.8704 0.3752 0.1248
0.9560 0.7968 0.2101